Entry 1:
Below is crystalline CuHgB at its relaxed geometry, with properties calculated at the PBE level.

Cell and atoms, written as POSCAR:
```
CuHgB
1.0
3.960 -0.056 0.301
-0.946 3.841 0.391
-0.975 -1.052 6.836
Cu B Hg
2 2 2
Direct
0.312 0.592 0.383 Cu
0.922 0.981 0.382 Cu
0.786 0.453 0.411 B
0.448 0.120 0.353 B
0.359 0.071 0.005 Hg
0.879 0.510 0.759 Hg
```

Energy above the most stable polymorph in this dataset   0.000 eV/atom
Raw total energy   -20.292 eV for the cell shown
Formation energy from the elements   310 meV/atom



Entry 2:
Below is crystalline NiPdSe2 at its relaxed geometry, with properties calculated at the PBE level.

Cell and atoms, written as POSCAR:
```
NiPdSe2
1.0
5.585 0.000 0.000
0.000 5.585 0.000
2.792 2.792 5.379
Ni Pd Se
2 2 4
Direct
0.250 0.750 0.500 Ni
0.500 0.500 0.000 Ni
0.000 0.000 0.000 Pd
0.750 0.250 0.500 Pd
0.875 0.846 0.750 Se
0.375 0.404 0.750 Se
0.596 0.125 0.250 Se
0.154 0.625 0.250 Se
```

Energy above the most stable polymorph in this dataset   0.056 eV/atom
Raw total energy   -37.203 eV for the cell shown



Entry 3:
Below is crystalline ErAl3NiAg at its relaxed geometry, with properties calculated at the PBE level.

Cell and atoms, written as POSCAR:
```
ErAl3NiAg
1.0
-1.121 -2.406 -5.175
-1.016 -5.257 2.664
-5.514 4.105 -0.714
Er Ni Al Ag
2 2 6 2
Direct
0.250 0.719 0.437 Er
0.750 0.281 0.563 Er
0.750 0.074 0.147 Ni
0.250 0.926 0.853 Ni
0.250 0.132 0.265 Al
0.750 0.868 0.735 Al
0.500 0.281 0.000 Al
0.000 0.719 0.000 Al
0.500 0.719 0.000 Al
0.000 0.281 0.000 Al
0.250 0.344 0.688 Ag
0.750 0.656 0.312 Ag
```

Raw total energy   -52.570 eV for the cell shown
Formation energy from the elements   -310 meV/atom



Entry 4:
Below is crystalline CoAgCl2 at its relaxed geometry, with properties calculated at the PBE level.

Cell and atoms, written as POSCAR:
```
CoAgCl2
1.0
5.252 0.005 -0.003
0.188 5.249 -0.003
1.332 1.286 3.025
Cl Co Ag
2 1 1
Direct
0.500 0.500 0.000 Cl
0.000 0.000 0.000 Cl
0.500 0.000 0.500 Co
0.000 0.500 0.500 Ag
```

Energy above the most stable polymorph in this dataset   0.274 eV/atom
Raw total energy   -13.230 eV for the cell shown



Entry 5:
Below is crystalline YOsAu at its relaxed geometry, with properties calculated at the PBE level.

Cell and atoms, written as POSCAR:
```
YOsAu
1.0
4.633 0.000 0.000
2.317 4.012 0.000
2.317 1.337 3.783
Os Y Au
1 1 1
Direct
0.500 0.500 0.500 Os
0.750 0.750 0.750 Y
0.000 0.000 0.000 Au
```

Energy above the most stable polymorph in this dataset   0.785 eV/atom
Raw total energy   -18.702 eV for the cell shown
Formation energy from the elements   756 meV/atom



Entry 6:
Below is crystalline NaB2W at its relaxed geometry, with properties calculated at the PBE level.

Cell and atoms, written as POSCAR:
```
NaB2W
1.0
0.000 2.832 2.832
2.832 0.000 2.832
2.832 2.832 0.000
B Na W
2 1 1
Direct
0.750 0.750 0.750 B
0.250 0.250 0.250 B
0.000 0.000 0.000 Na
0.500 0.500 0.500 W
```

Energy above the most stable polymorph in this dataset   0.189 eV/atom
Raw total energy   -22.643 eV for the cell shown
Formation energy from the elements   1246 meV/atom



Entry 7:
Below is crystalline LiZnCdFe2 at its relaxed geometry, with properties calculated at the PBE level.

Cell and atoms, written as POSCAR:
```
LiZnCdFe2
1.0
-0.528 1.997 3.635
-1.043 -3.611 1.832
4.153 -0.699 0.987
Zn Li Cd Fe
1 1 1 2
Direct
0.000 0.000 0.500 Zn
0.000 0.000 0.000 Li
0.500 0.500 0.500 Cd
0.000 0.500 0.000 Fe
0.500 0.000 0.000 Fe
```

Raw total energy   -17.072 eV for the cell shown
Formation energy from the elements   791 meV/atom



Entry 8:
Below is crystalline Sc2Co2Te at its relaxed geometry, with properties calculated at the PBE level.

Cell and atoms, written as POSCAR:
```
Sc2Co2Te
1.0
6.819 0.000 0.000
0.000 6.819 0.000
0.000 0.000 3.715
Sc Co Te
4 4 2
Direct
0.673 0.827 0.500 Sc
0.173 0.673 0.500 Sc
0.827 0.327 0.500 Sc
0.327 0.173 0.500 Sc
0.617 0.117 0.000 Co
0.117 0.383 0.000 Co
0.383 0.883 0.000 Co
0.883 0.617 0.000 Co
0.000 0.000 0.000 Te
0.500 0.500 0.000 Te
```

Raw total energy   -64.294 eV for the cell shown



Entry 9:
Below is crystalline Ge2IrBr at its relaxed geometry, with properties calculated at the PBE level.

Cell and atoms, written as POSCAR:
```
Ge2IrBr
1.0
6.235 0.000 0.000
0.000 6.235 0.000
3.118 3.118 5.685
Ir Br Ge
2 2 4
Direct
0.750 0.250 0.500 Ir
0.000 0.000 0.000 Ir
0.250 0.750 0.500 Br
0.500 0.500 0.000 Br
0.375 0.292 0.750 Ge
0.875 0.958 0.750 Ge
0.042 0.625 0.250 Ge
0.708 0.125 0.250 Ge
```

Energy above the most stable polymorph in this dataset   0.000 eV/atom
Raw total energy   -38.997 eV for the cell shown



Entry 10:
Below is crystalline NaInBrF2 at its relaxed geometry, with properties calculated at the PBE level.

Cell and atoms, written as POSCAR:
```
NaInBrF2
1.0
4.453 0.000 0.000
0.000 4.453 0.000
0.000 0.000 6.022
F Br In Na
2 1 1 1
Direct
0.500 0.000 0.000 F
0.000 0.500 0.000 F
0.000 0.000 0.500 Br
0.000 0.000 0.000 In
0.500 0.500 0.500 Na
```

Raw total energy   -18.451 eV for the cell shown



Entry 11:
Below is crystalline Tb7SmTm4 at its relaxed geometry, with properties calculated at the PBE level.

Cell and atoms, written as POSCAR:
```
Tb7SmTm4
1.0
-2.030 6.545 -2.025
-7.668 4.377 -3.353
-4.431 0.955 7.536
Tb Tm Sm
7 4 1
Direct
0.777 0.222 0.335 Tb
0.752 0.500 0.001 Tb
0.028 0.720 0.336 Tb
0.972 0.280 0.664 Tb
0.223 0.778 0.665 Tb
0.500 0.000 0.000 Tb
0.248 0.500 0.999 Tb
0.280 0.220 0.335 Tm
0.530 0.721 0.335 Tm
0.470 0.279 0.665 Tm
0.720 0.780 0.665 Tm
0.000 0.000 0.000 Sm
```

Raw total energy   -55.052 eV for the cell shown
Formation energy from the elements   -3 meV/atom



Entry 12:
Below is crystalline BeCrNi2 at its relaxed geometry, with properties calculated at the PBE level.

Cell and atoms, written as POSCAR:
```
BeCrNi2
1.0
3.875 0.000 0.000
1.938 3.356 0.000
1.938 1.119 3.164
Ni Be Cr
2 1 1
Direct
0.250 0.250 0.250 Ni
0.000 0.000 0.000 Ni
0.500 0.500 0.500 Be
0.750 0.750 0.750 Cr
```

Raw total energy   -24.895 eV for the cell shown
Formation energy from the elements   4 meV/atom



Entry 13:
Below is crystalline CsHgH5 at its relaxed geometry, with properties calculated at the PBE level.

Cell and atoms, written as POSCAR:
```
CsHgH5
1.0
5.908 -1.265 -2.055
-1.798 3.744 -1.419
0.146 1.563 6.341
Hg H Cs
1 5 1
Direct
0.581 0.081 0.163 Hg
0.448 0.819 0.320 H
0.967 0.881 0.870 H
0.872 0.501 0.320 H
0.903 0.989 0.870 H
0.431 0.931 0.862 H
0.267 0.267 0.534 Cs
```

Raw total energy   -17.823 eV for the cell shown